Run a
DFT (meta-GGA SCAN) results for FePtBr2 at its PBEsol-relaxed geometry.

Lattice parameters (Å, degrees): 6.5746 6.5746 6.5746 90.00 90.00 90.00
Closest atoms and distances in Å follow each position.
Element x y z (fractional)
Fe 0.0000 0.0000 0.0000  8 Br 2.85
Fe 0.0000 0.5000 0.5000  8 Br 2.85
Fe 0.5000 0.0000 0.5000  8 Br 2.85
Fe 0.5000 0.5000 0.0000  8 Br 2.85
Pt 0.0000 0.0000 0.5000  8 Br 2.85
Pt 0.0000 0.5000 0.0000  8 Br 2.85
Pt 0.5000 0.0000 0.0000  8 Br 2.85
Pt 0.5000 0.5000 0.5000  8 Br 2.85
Br 0.2500 0.2500 0.2500  4 Fe 2.85, 4 Pt 2.85
Br 0.2500 0.2500 0.7500  4 Fe 2.85, 4 Pt 2.85
Br 0.2500 0.7500 0.2500  4 Fe 2.85, 4 Pt 2.85
Br 0.2500 0.7500 0.7500  4 Pt 2.85, 4 Fe 2.85
Br 0.7500 0.2500 0.2500  4 Fe 2.85, 4 Pt 2.85
Br 0.7500 0.2500 0.7500  4 Pt 2.85, 4 Fe 2.85
Br 0.7500 0.7500 0.2500  4 Pt 2.85, 4 Fe 2.85
Br 0.7500 0.7500 0.7500  4 Fe 2.85, 4 Pt 2.85

## Properties
The mass density is 9.60 g/cm³.

=====

Run b
DFT (meta-GGA SCAN) results for FePtBr2 at its PBEsol-relaxed geometry.

Lattice parameters (Å, degrees): 3.0832 5.9575 8.2220 90.00 90.00 90.00
Closest atoms and distances in Å follow each position.
Element x y z (fractional)
Fe 0.0000 0.0000 0.0000  4 Br 2.44
Fe 0.5000 0.5000 0.0000  4 Br 2.44
Pt 0.0000 0.0000 0.5000  4 Br 2.70
Pt 0.5000 0.5000 0.5000  4 Br 2.70
Br 0.0000 0.5000 0.2304  2 Fe 2.44, 2 Pt 2.70
Br 0.0000 0.5000 0.7696  2 Fe 2.44, 2 Pt 2.70
Br 0.5000 0.0000 0.2304  2 Fe 2.44, 2 Pt 2.70
Br 0.5000 0.0000 0.7696  2 Fe 2.44, 2 Pt 2.70

## Properties
The mass density is 9.03 g/cm³.

=====

Relative energies, in eV/atom, with the most stable structure set to zero: run a 0.199; run b 0.000.

=====

Run a
DFT (meta-GGA SCAN) results for FeRe2Br at its PBEsol-relaxed geometry.

Lattice parameters (Å, degrees): 3.0284 2.9922 7.2959 90.00 90.98 90.00
Closest atoms and distances in Å follow each position.
Element x y z (fractional)
Fe 0.0000 0.0000 0.0000  2 Br 2.55, 4 Re 2.65-2.66
Re 0.0211 0.0000 0.4141  4 Re 2.57, 2 Br 2.67
Re 0.5135 0.5000 0.2173  4 Re 2.57, 4 Fe 2.65-2.66
Br 0.0589 0.5000 0.7178  2 Fe 2.55, 2 Re 2.67

## Properties
The mass density is 12.77 g/cm³.

=====

Run b
DFT (meta-GGA SCAN) results for FeRe2Br at its PBEsol-relaxed geometry.

Lattice parameters (Å, degrees): 2.9282 4.7056 9.0649 90.00 90.00 90.00
Closest atoms and distances in Å follow each position.
Element x y z (fractional)
Fe 0.0000 0.0000 0.0000  2 Re 2.54, 2 Br 2.55, 4 Fe 2.77
Fe 0.5000 0.5000 0.0000  2 Re 2.54, 2 Br 2.55, 4 Fe 2.77
Re 0.0000 0.0000 0.4620  6 Re 2.57-2.77
Re 0.0000 0.5000 0.2286  2 Fe 2.54, 6 Re 2.57-2.77
Re 0.5000 0.0000 0.2286  2 Fe 2.54, 6 Re 2.57-2.77
Re 0.5000 0.5000 0.4620  6 Re 2.57-2.77
Br 0.0000 0.5000 0.7690  2 Fe 2.55, 4 Br 2.77
Br 0.5000 0.0000 0.7690  2 Fe 2.55, 4 Br 2.77

## Properties
The mass density is 13.51 g/cm³.

=====

Relative energies, in eV/atom, with the most stable structure set to zero: run a 0.000; run b 0.273.

=====

Run a
DFT (meta-GGA SCAN) results for Fe2RhBr at its PBEsol-relaxed geometry.

Lattice parameters (Å, degrees): 3.0098 3.2677 6.6925 90.00 90.00 90.00
Closest atoms and distances in Å follow each position.
Element x y z (fractional)
Fe 0.0000 0.0000 0.1894  1 Fe 2.54, 4 Rh 2.56, 2 Br 2.57
Fe 0.0000 0.0000 0.8106  1 Fe 2.54, 4 Rh 2.56, 2 Br 2.57
Rh 0.5000 0.5000 0.0000  8 Fe 2.56
Br 0.5000 0.0000 0.5000  4 Fe 2.57

## Properties
The mass density is 7.43 g/cm³.

=====

Run b
DFT (meta-GGA SCAN) results for Fe2RhBr at its PBEsol-relaxed geometry.

Lattice parameters (Å, degrees): 6.0706 6.0706 6.0706 90.00 90.00 90.00
Closest atoms and distances in Å follow each position.
Element x y z (fractional)
Fe 0.0000 0.0000 0.0000  4 Br 2.63, 4 Fe 2.63
Fe 0.0000 0.5000 0.5000  4 Br 2.63, 4 Fe 2.63
Fe 0.2500 0.2500 0.2500  4 Fe 2.63, 4 Rh 2.63
Fe 0.2500 0.7500 0.7500  4 Fe 2.63, 4 Rh 2.63
Fe 0.5000 0.0000 0.5000  4 Br 2.63, 4 Fe 2.63
Fe 0.5000 0.5000 0.0000  4 Br 2.63, 4 Fe 2.63
Fe 0.7500 0.2500 0.7500  4 Fe 2.63, 4 Rh 2.63
Fe 0.7500 0.7500 0.2500  4 Fe 2.63, 4 Rh 2.63
Rh 0.0000 0.0000 0.5000  4 Fe 2.63, 4 Br 2.63
Rh 0.0000 0.5000 0.0000  4 Fe 2.63, 4 Br 2.63
Rh 0.5000 0.0000 0.0000  4 Fe 2.63, 4 Br 2.63
Rh 0.5000 0.5000 0.5000  4 Fe 2.63, 4 Br 2.63
Br 0.2500 0.2500 0.7500  4 Fe 2.63, 4 Rh 2.63
Br 0.2500 0.7500 0.2500  4 Fe 2.63, 4 Rh 2.63
Br 0.7500 0.2500 0.2500  4 Fe 2.63, 4 Rh 2.63
Br 0.7500 0.7500 0.7500  4 Fe 2.63, 4 Rh 2.63

## Properties
The mass density is 8.74 g/cm³.

=====

Relative energies, in eV/atom, with the most stable structure set to zero: run a 0.000; run b 0.508.

=====

Run a
DFT (meta-GGA SCAN) results for Fe2RuBr at its PBEsol-relaxed geometry.

Lattice parameters (Å, degrees): 3.6439 3.6439 8.3413 90.00 90.00 90.00
Closest atoms and distances in Å follow each position.
Element x y z (fractional)
Fe 0.0000 0.5000 0.2500  4 Fe 2.58, 4 Br 2.77, 4 Ru 2.77
Fe 0.0000 0.5000 0.7500  4 Fe 2.58, 4 Br 2.77, 4 Ru 2.77
Fe 0.5000 0.0000 0.2500  4 Fe 2.58, 4 Br 2.77, 4 Ru 2.77
Fe 0.5000 0.0000 0.7500  4 Fe 2.58, 4 Br 2.77, 4 Ru 2.77
Ru 0.0000 0.0000 0.0000  4 Br 2.58, 8 Fe 2.77
Ru 0.5000 0.5000 0.5000  4 Br 2.58, 8 Fe 2.77
Br 0.0000 0.0000 0.5000  4 Ru 2.58, 8 Fe 2.77
Br 0.5000 0.5000 0.0000  4 Ru 2.58, 8 Fe 2.77

## Properties
The mass density is 8.78 g/cm³.

=====

Run b
DFT (meta-GGA SCAN) results for Fe2RuBr at its PBEsol-relaxed geometry.

Lattice parameters (Å, degrees): 5.9806 5.9806 5.9806 90.00 90.00 90.00
Closest atoms and distances in Å follow each position.
Element x y z (fractional)
Fe 0.0000 0.0000 0.0000  4 Fe 2.59, 4 Ru 2.59
Fe 0.0000 0.5000 0.5000  4 Fe 2.59, 4 Ru 2.59
Fe 0.2500 0.2500 0.2500  4 Fe 2.59, 4 Br 2.59
Fe 0.2500 0.7500 0.7500  4 Br 2.59, 4 Fe 2.59
Fe 0.5000 0.0000 0.5000  4 Fe 2.59, 4 Ru 2.59
Fe 0.5000 0.5000 0.0000  4 Fe 2.59, 4 Ru 2.59
Fe 0.7500 0.2500 0.7500  4 Br 2.59, 4 Fe 2.59
Fe 0.7500 0.7500 0.2500  4 Br 2.59, 4 Fe 2.59
Ru 0.2500 0.2500 0.7500  4 Fe 2.59, 4 Br 2.59
Ru 0.2500 0.7500 0.2500  4 Fe 2.59, 4 Br 2.59
Ru 0.7500 0.2500 0.2500  4 Fe 2.59, 4 Br 2.59
Ru 0.7500 0.7500 0.7500  4 Fe 2.59, 4 Br 2.59
Br 0.0000 0.0000 0.5000  4 Fe 2.59, 4 Ru 2.59
Br 0.0000 0.5000 0.0000  4 Fe 2.59, 4 Ru 2.59
Br 0.5000 0.0000 0.0000  4 Fe 2.59, 4 Ru 2.59
Br 0.5000 0.5000 0.5000  4 Fe 2.59, 4 Ru 2.59

## Properties
The mass density is 9.09 g/cm³.

=====

Relative energies, in eV/atom, with the most stable structure set to zero: run a 0.000; run b 0.015.